No. 1
Computed, not measured: SrPu2Br6 after structural relaxation at the PBE-GGA level of DFT.

a b c (Å): 7.627 9.597 9.597
angles (deg): 74.63 71.29 71.29
Sites, in units of the cell vectors:
Sr 0.250 0.332 0.668
Sr 0.750 0.668 0.332
Pu 0.917 0.840 0.699
Pu 0.583 0.301 0.160
Pu 0.083 0.160 0.301
Pu 0.417 0.699 0.840
Br 0.331 0.671 0.566
Br 0.169 0.434 0.329
Br 0.669 0.329 0.434
Br 0.831 0.566 0.671
Br 0.933 0.897 0.374
Br 0.567 0.626 0.103
Br 0.067 0.103 0.626
Br 0.433 0.374 0.897
Br 0.008 0.769 0.994
Br 0.492 0.006 0.231
Br 0.992 0.231 0.006
Br 0.508 0.994 0.769

Energy relative to the elements, uncorrected in eV/atom: -1.604

No. 2
Computed, not measured: NiSn2HgBr after structural relaxation at the PBE-GGA level of DFT.

a b c (Å): 4.934 4.934 5.148
angles (deg): 90.00 90.00 90.00
Sites, in units of the cell vectors:
Ni 0.000 0.000 0.000
Hg 0.000 0.000 0.500
Br 0.500 0.500 0.500
Sn 0.000 0.500 0.000
Sn 0.500 0.000 0.000

Energy relative to the elements, uncorrected in eV/atom: -0.145

No. 3
Computed, not measured: LiYMg2Ni after structural relaxation at the PBE-GGA level of DFT.

a b c (Å): 4.982 4.982 4.992
angles (deg): 90.00 90.00 90.00
Sites, in units of the cell vectors:
Y 0.000 0.000 0.500
Ni 0.000 0.000 0.000
Mg 0.000 0.500 0.000
Mg 0.500 0.000 0.000
Li 0.500 0.500 0.500

Formation energy in eV/atom: -0.02

Number 1: spin magnetization 12.0 μB per formula unit. Number 2: spin magnetization 0.0 μB per formula unit. Number 3: spin magnetization 0.0 μB per formula unit.